# SbCl5

A geometry-optimized SbCl5 structure (PBE-GGA, Alexandria via LeMat-Bulk).

Cell: 4.963 4.963 7.774 Å, 90.00 90.00 90.00°
Element x y z (fractional)
Sb1 0.500 0.500 0.000
Cl1 0.000 0.000 0.800
Cl2 0.000 0.000 0.200
Cl3 0.500 0.500 0.692
Cl4 0.500 0.500 0.308
Cl5 0.000 0.000 0.500

Results
density of states at the Fermi level: 0.65 states/eV/cell
E_form (uncorrected): -0.048 eV per atom
symmetry: P4/mmm